No. 1
Below is a relaxed Ce2ZnGe2Ru5 crystal, with properties calculated at the PBE-GGA level.

Results
size of the total moment	0.00	μB per cell
uncorrected energy	-0.26498	Ha/atom
SG	No. 127
crystal system	tetragonal

a b c (Å): 3.4619 9.9334 9.9334
angles (deg): 90.00 90.00 90.00
Positions (direct):
Ru 0.5000 0.5000 0.0000
Ru 0.5000 0.5701 0.7041
Zn 0.0000 0.0000 0.0000
Ru 0.5000 0.7041 0.4299
Ge 0.0000 0.8729 0.3729
Ru 0.5000 0.0000 0.5000
Ru 0.5000 0.0701 0.7959
Ru 0.5000 0.4299 0.2959
Ru 0.5000 0.9299 0.2041
Zn 0.0000 0.5000 0.5000
Ce 0.0000 0.8275 0.6725
Ru 0.5000 0.2041 0.0701
Ge 0.0000 0.3729 0.1271
Ce 0.0000 0.6725 0.1725
Ge 0.0000 0.1271 0.6271
Ce 0.0000 0.1725 0.3275
Ce 0.0000 0.3275 0.8275
Ru 0.5000 0.2959 0.5701
Ru 0.5000 0.7959 0.9299
Ge 0.0000 0.6271 0.8729

***

No. 2
Below is a relaxed Sm4PaRh4 crystal, with properties calculated at the PBE-GGA level.

Results
size of the total moment	0.00	μB per cell
uncorrected energy	-0.26003	Ha/atom
SG	No. 86
crystal system	tetragonal

a b c (Å): 5.9187 8.7170 8.7170
angles (deg): 90.00 90.00 90.00
Positions (direct):
Rh 0.1521 0.6352 0.4921
Sm 0.6555 0.8307 0.0560
Rh 0.6521 0.5079 0.1352
Rh 0.3479 0.0079 0.6352
Sm 0.1555 0.9440 0.3307
Sm 0.3445 0.3307 0.5560
Sm 0.8445 0.0560 0.6693
Sm 0.6555 0.6693 0.4440
Sm 0.8445 0.4440 0.8307
Pa 0.2500 0.7500 0.7500
Rh 0.6521 0.9921 0.3648
Pa 0.7500 0.2500 0.2500
Sm 0.3445 0.1693 0.9440
Rh 0.8479 0.3648 0.5079
Sm 0.1555 0.5560 0.1693
Rh 0.3479 0.4921 0.8648
Rh 0.8479 0.1352 0.9921
Rh 0.1521 0.8648 0.0079

***

No. 3
Below is a relaxed SrFeAg2 crystal, with properties calculated at the PBE-GGA level.

Results
size of the total moment	3.15	μB per cell
uncorrected energy	-0.13506	Ha/atom
SG	No. 10
crystal system	monoclinic

a b c (Å): 3.4925 3.4060 8.0174
angles (deg): 65.04 90.00 90.00
Site moments in Bohr magnetons follow the coordinates.
Positions (direct):
Sr 0.5000 0.7500 0.7500  0.01
Ag 0.0000 0.9422 0.0584  0.01
Fe 0.5000 0.2500 0.2500  3.08
Ag 0.0000 0.5578 0.4416  0.01

***

No. 4
Below is a relaxed Tb6CeDy2 crystal, with properties calculated at the PBE-GGA level.

Results
size of the total moment	2.26	μB per cell
uncorrected energy	-0.17380	Ha/atom
SG	No. 2
crystal system	triclinic

a b c (Å): 6.1568 6.1572 17.4148
angles (deg): 89.83 118.20 99.65
Site moments in Bohr magnetons follow the coordinates.
Positions (direct):
Ce 0.0002 0.9997 0.7500  0.76
Dy 0.3292 0.5561 0.3053  0.03
Dy 0.6703 0.4444 0.1946  0.03
Tb 0.6634 0.1097 0.3598  0.02
Tb 0.9994 0.3313 0.5838  0.01
Dy 0.3297 0.5556 0.8054  0.03
Dy 0.6708 0.4439 0.6947  0.03
Ce 0.9998 0.0003 0.2500  0.76
Tb 0.3363 0.8908 0.1401  0.02
Tb 0.3307 0.2201 0.4704  0.01
Tb 0.6693 0.7799 0.5296  0.01
Tb 0.0009 0.6684 0.9162  0.01
Tb 0.3307 0.2199 0.9704  0.01
Tb 0.3366 0.8903 0.6402  0.02
Tb 0.6693 0.7801 0.0296  0.01
Tb 0.0006 0.6687 0.4162  0.01
Tb 0.9991 0.3316 0.0838  0.01
Tb 0.6637 0.1092 0.8599  0.02

***

No. 5
Below is a relaxed KPWCl2 crystal, with properties calculated at the PBE-GGA level.

Results
size of the total moment	1.19	μB per cell
uncorrected energy	-0.18502	Ha/atom
SG	No. 123
raw formation energy	-0.4038	eV per atom
crystal system	tetragonal

a b c (Å): 5.1004 5.1004 4.6905
angles (deg): 90.00 90.00 90.00
Site moments in Bohr magnetons follow the coordinates.
Positions (direct):
P 0.0000 0.0000 0.5000  -0.07
K 0.5000 0.5000 0.5000  0.00
W 0.0000 0.0000 0.0000  1.02
Cl 0.5000 0.0000 0.0000  0.03
Cl 0.0000 0.5000 0.0000  0.03

***

No. 6
Below is a relaxed Cd3GaB2Pt9 crystal, with properties calculated at the PBE-GGA level.

Results
size of the total moment	0.00	μB per cell
uncorrected energy	-0.18997	Ha/atom
SG	No. 164
crystal system	trigonal

a b c (Å): 5.6640 5.6640 9.1460
angles (deg): 90.00 90.00 120.00
Positions (direct):
Cd 0.6667 0.3333 0.3984
B 0.3333 0.6667 0.1518
Pt 0.5000 0.5000 0.0000
Pt 0.1627 0.8373 0.2860
Pt 0.1627 0.3255 0.2860
Ga 0.0000 0.0000 0.5000
Pt 0.6745 0.8373 0.2860
Pt 0.5000 0.0000 0.0000
Cd 0.0000 0.0000 0.0000
Pt 0.3255 0.1627 0.7140
B 0.6667 0.3333 0.8482
Pt 0.8373 0.6745 0.7140
Pt 0.8373 0.1627 0.7140
Cd 0.3333 0.6667 0.6016
Pt 0.0000 0.5000 0.0000

***

No. 7
Below is a relaxed CuPdSe4 crystal, with properties calculated at the PBE-GGA level.

Results
size of the total moment	0.00	μB per cell
uncorrected energy	-0.14750	Ha/atom
SG	No. 12
raw formation energy	-0.1425	eV per atom
crystal system	monoclinic

a b c (Å): 3.7419 6.6024 9.6607
angles (deg): 88.12 90.00 90.00
Positions (direct):
Se 0.4999 0.8090 0.1471
Cu 0.5000 0.5000 0.5000
Se 0.0000 0.3064 0.1267
Se 0.5000 0.8064 0.6267
Se 0.9999 0.6910 0.3529
Se 0.5000 0.1936 0.3733
Cu 0.0000 0.0000 0.0000
Se 0.5001 0.1910 0.8529
Pd 0.5000 0.5000 0.0000
Se 0.0001 0.3090 0.6471
Pd 0.0000 0.0000 0.5000
Se 0.0000 0.6936 0.8733

***

No. 8
Below is a relaxed La3AlGa4 crystal, with properties calculated at the PBE-GGA level.

Results
size of the total moment	0.00	μB per cell
uncorrected energy	-0.15628	Ha/atom
SG	No. 71
crystal system	orthorhombic

a b c (Å): 4.8178 6.9804 7.8139
angles (deg): 116.53 107.96 90.00
Positions (direct):
La 0.8195 0.8195 0.6391
La 0.0000 0.5000 0.0000
Ga 0.3878 0.1862 0.7756
Ga 0.6122 0.4106 0.2244
Al 0.5000 0.0000 0.0000
La 0.1805 0.1805 0.3609
Ga 0.6122 0.8138 0.2244
Ga 0.3878 0.5894 0.7756

***

No. 9
Below is a relaxed KSrZn2 crystal, with properties calculated at the PBE-GGA level.

Results
size of the total moment	0.00	μB per cell
uncorrected energy	-0.04586	Ha/atom
SG	No. 225
crystal system	cubic

a b c (Å): 5.6545 5.6545 5.6545
angles (deg): 60.00 60.00 60.00
Positions (direct):
Zn 0.7500 0.7500 0.7500
K 0.0000 0.0000 0.0000
Sr 0.5000 0.5000 0.5000
Zn 0.2500 0.2500 0.2500

***

No. 10
Below is a relaxed Cs3CuHg2Cl9 crystal, with properties calculated at the PBE-GGA level.

Results
size of the total moment	0.70	μB per cell
uncorrected energy	-0.10012	Ha/atom
SG	No. 164
raw formation energy	-1.1324	eV per atom
crystal system	trigonal

a b c (Å): 7.4208 7.4208 9.1149
angles (deg): 90.00 90.00 120.00
Site moments in Bohr magnetons follow the coordinates.
Positions (direct):
Cl 0.3159 0.1579 0.6556  0.04
Cl 0.5000 0.5000 0.0000  0.01
Cu 0.0000 0.0000 0.5000  0.33
Hg 0.6667 0.3333 0.8188  0.01
Cs 0.6667 0.3333 0.3332  0.00
Cl 0.1579 0.8421 0.3444  0.04
Hg 0.3333 0.6667 0.1812  0.01
Cs 0.3333 0.6667 0.6668  0.00
Cl 0.5000 0.0000 0.0000  0.01
Cl 0.0000 0.5000 0.0000  0.01
Cl 0.8421 0.6841 0.6556  0.04
Cl 0.6841 0.8421 0.3444  0.04
Cl 0.8421 0.1579 0.6556  0.04
Cl 0.1579 0.3159 0.3444  0.04
Cs 0.0000 0.0000 0.0000  0.00

***

No. 11
Below is a relaxed CdInFe2 crystal, with properties calculated at the PBE-GGA level.

Results
size of the total moment	10.00	μB per cell
uncorrected energy	-0.16540	Ha/atom
SG	No. 122
crystal system	tetragonal

a b c (Å): 7.2467 7.2467 5.8160
angles (deg): 51.46 51.46 90.00
Site moments in Bohr magnetons follow the coordinates.
Positions (direct):
In 0.0000 0.0000 0.0000  -0.09
Fe 0.6266 0.1250 0.2500  2.59
In 0.7500 0.2500 0.5000  -0.09
Fe 0.1234 0.6250 0.2500  2.58
Cd 0.5000 0.5000 0.0000  -0.06
Fe 0.8750 0.8766 0.7500  2.59
Fe 0.3750 0.3734 0.7500  2.59
Cd 0.2500 0.7500 0.5000  -0.06

***

No. 12
Below is a relaxed Er10ThSc4 crystal, with properties calculated at the PBE-GGA level.

Results
size of the total moment	0.00	μB per cell
uncorrected energy	-0.16956	Ha/atom
SG	No. 87
crystal system	tetragonal

a b c (Å): 6.5182 9.2015 9.2015
angles (deg): 82.79 69.26 69.26
Positions (direct):
Er 0.4795 0.1561 0.3988
Sc 0.3253 0.2426 0.1069
Er 0.9655 0.1561 0.3988
Er 0.3644 0.6012 0.1561
Er 0.6356 0.3988 0.8439
Er 0.7500 0.5000 0.5000
Er 0.1217 0.3988 0.8439
Sc 0.6747 0.7574 0.8931
Er 0.0345 0.8439 0.6012
Er 0.5205 0.8439 0.6012
Er 0.2500 0.5000 0.5000
Er 0.8783 0.6012 0.1561
Th 0.0000 0.0000 0.0000
Sc 0.5679 0.1069 0.7574
Sc 0.4321 0.8931 0.2426

***

No. 13
Below is a relaxed LaTh3 crystal, with properties calculated at the PBE-GGA level.

Results
size of the total moment	0.00	μB per cell
uncorrected energy	-0.24313	Ha/atom
SG	No. 225
crystal system	cubic

a b c (Å): 5.7240 5.7240 5.7240
angles (deg): 60.00 60.00 60.00
Positions (direct):
Th 0.2500 0.2500 0.2500
Th 0.0000 0.0000 0.0000
La 0.5000 0.5000 0.5000
Th 0.7500 0.7500 0.7500

***

No. 14
Below is a relaxed TaHg2Pb crystal, with properties calculated at the PBE-GGA level.

Results
size of the total moment	0.00	μB per cell
uncorrected energy	-0.12756	Ha/atom
SG	No. 119
crystal system	tetragonal

a b c (Å): 5.7392 5.7392 5.7392
angles (deg): 136.46 136.46 63.27
Positions (direct):
Hg 0.2500 0.7500 0.5000
Hg 0.0000 0.0000 0.0000
Ta 0.7500 0.2500 0.5000
Pb 0.5000 0.5000 0.0000

***

No. 15
Below is a relaxed Li2Mo2H7 crystal, with properties calculated at the PBE-GGA level.

Results
size of the total moment	0.00	μB per cell
uncorrected energy	-0.16541	Ha/atom
SG	No. 65
crystal system	orthorhombic

a b c (Å): 4.3458 4.6179 4.3458
angles (deg): 90.00 101.43 90.00
Positions (direct):
H 0.5000 0.2154 0.5000
H 0.0000 0.0000 0.0000
Li 0.7558 0.5000 0.7558
Li 0.2442 0.5000 0.2442
H 0.0000 0.2734 0.5000
H 0.5000 0.7266 0.0000
H 0.5000 0.2734 0.0000
H 0.0000 0.7266 0.5000
H 0.5000 0.7846 0.5000
Mo 0.2666 0.0000 0.7334
Mo 0.7334 0.0000 0.2666

***

No. 16
Below is a relaxed Li3Y3NpS8 crystal, with properties calculated at the PBE-GGA level.

Results
size of the total moment	3.00	μB per cell
uncorrected energy	-0.23710	Ha/atom
SG	No. 166
raw formation energy	-1.7121	eV per atom
crystal system	trigonal

a b c (Å): 7.8941 7.8936 7.6692
angles (deg): 121.00 90.00 120.00
Site moments in Bohr magnetons follow the coordinates.
Positions (direct):
Li 0.5000 0.5000 0.0000  0.00
S 0.2442 0.9996 0.7435  -0.04
S 0.7558 0.5116 0.2565  -0.04
Np 0.0000 0.0000 0.5000  3.17
S 0.7558 0.0004 0.2565  -0.04
Li 0.0000 0.5000 0.0000  0.00
Y 0.5000 0.0000 0.5000  0.01
S 0.7501 0.5002 0.7500  0.00
Li 0.0000 0.0000 0.0000  0.00
Y 0.0000 0.5000 0.5000  0.01
S 0.2442 0.4884 0.7435  -0.04
S 0.7553 0.9996 0.7435  -0.04
Y 0.5000 0.5000 0.5000  0.01
S 0.2499 0.4998 0.2500  0.00
S 0.2447 0.0004 0.2565  -0.04

***

No. 17
Below is a relaxed FeNiPt2 crystal, with properties calculated at the PBE-GGA level.

Results
size of the total moment	4.20	μB per cell
uncorrected energy	-0.24185	Ha/atom
SG	No. 216
crystal system	cubic

a b c (Å): 4.3106 4.3106 4.3106
angles (deg): 60.00 60.00 60.00
Site moments in Bohr magnetons follow the coordinates.
Positions (direct):
Pt 0.7500 0.7500 0.7500  0.30
Ni 0.2500 0.2500 0.2500  0.66
Fe 0.5000 0.5000 0.5000  3.12
Pt 0.0000 0.0000 0.0000  0.14

***

No. 18
Below is a relaxed Rb2PrTmS4 crystal, with properties calculated at the PBE-GGA level.

Results
size of the total moment	0.00	μB per cell
uncorrected energy	-0.19423	Ha/atom
SG	No. 10
raw formation energy	-1.8231	eV per atom
crystal system	monoclinic

a b c (Å): 4.1423 7.1804 8.0684
angles (deg): 107.21 90.00 90.00
Positions (direct):
S 0.5000 0.2189 0.1914
S 0.0000 0.7444 0.1962
Rb 0.0000 0.5000 0.5000
S 0.0000 0.2556 0.8038
S 0.5000 0.7811 0.8086
Rb 0.5000 0.0000 0.5000
Pr 0.5000 0.5000 0.0000
Tm 0.0000 0.0000 0.0000

***

No. 19
Below is a relaxed Ag2SeI crystal, with properties calculated at the PBE-GGA level.

Results
size of the total moment	0.00	μB per cell
uncorrected energy	-0.10006	Ha/atom
SG	No. 166
raw formation energy	-0.0384	eV per atom
crystal system	trigonal

a b c (Å): 4.0921 4.0921 7.2115
angles (deg): 73.52 73.52 60.00
Positions (direct):
I 0.5000 0.5000 0.5000
Ag 0.7378 0.7378 0.7867
Se 0.0000 0.0000 0.0000
Ag 0.2622 0.2622 0.2133

***

No. 20
Below is a relaxed Li14AgPb crystal, with properties calculated at the PBE-GGA level.

Results
size of the total moment	0.00	μB per cell
uncorrected energy	-0.08034	Ha/atom
SG	No. 123
crystal system	tetragonal

a b c (Å): 6.8455 6.8455 6.4371
angles (deg): 90.00 90.00 90.00
Positions (direct):
Li 0.6175 0.1325 0.2625
Li 0.1325 0.6175 0.7375
Li 0.8750 0.3750 0.5000
Li 0.8750 0.8750 0.0000
Li 0.6175 0.6175 0.7376
Ag 0.3750 0.3750 0.5000
Li 0.8750 0.3750 0.0000
Li 0.3750 0.8750 0.0000
Li 0.1325 0.1325 0.2625
Li 0.6175 0.1325 0.7375
Li 0.3750 0.8750 0.5000
Li 0.6175 0.6175 0.2624
Li 0.1325 0.1325 0.7375
Li 0.3750 0.3750 0.0000
Pb 0.8750 0.8750 0.5000
Li 0.1325 0.6175 0.2625

***

No. 21
Below is a relaxed Rb5Pt4 crystal, with properties calculated at the PBE-GGA level.

Results
size of the total moment	0.00	μB per cell
uncorrected energy	-0.11067	Ha/atom
SG	No. 193
crystal system	hexagonal

a b c (Å): 11.4745 11.4745 5.4858
angles (deg): 90.00 90.00 120.00
Positions (direct):
Rb 0.3333 0.6667 0.0000
Rb 0.2577 0.0000 0.7500
Rb 0.3333 0.6667 0.5000
Rb 0.0000 0.2577 0.7500
Pt 0.4742 0.0000 0.2500
Pt 0.4742 0.4742 0.7500
Rb 0.7423 0.7423 0.7500
Pt 0.0000 0.0000 0.0000
Pt 0.0000 0.0000 0.5000
Pt 0.5258 0.0000 0.7500
Pt 0.0000 0.5258 0.7500
Rb 0.0000 0.7423 0.2500
Pt 0.5258 0.5258 0.2500
Rb 0.6667 0.3333 0.0000
Rb 0.2577 0.2577 0.2500
Rb 0.7423 0.0000 0.2500
Rb 0.6667 0.3333 0.5000
Pt 0.0000 0.4742 0.2500

***

No. 22
Below is a relaxed PrPuPO2 crystal, with properties calculated at the PBE-GGA level.

Results
size of the total moment	8.00	μB per cell
uncorrected energy	-0.34290	Ha/atom
SG	No. 63
raw formation energy	-2.4434	eV per atom
crystal system	orthorhombic

a b c (Å): 3.9358 6.2737 7.5385
angles (deg): 90.00 90.00 108.28
Site moments in Bohr magnetons follow the coordinates.
Positions (direct):
Pr 0.7315 0.4630 0.7500  0.02
O 0.8299 0.6597 0.0590  -0.09
P 0.4579 0.9157 0.7500  -0.13
P 0.5421 0.0843 0.2500  -0.13
Pu 0.0000 0.0000 0.0000  4.21
O 0.8299 0.6597 0.4410  -0.09
Pu 0.0000 0.0000 0.5000  4.21
O 0.1701 0.3403 0.9410  -0.09
O 0.1701 0.3403 0.5590  -0.09
Pr 0.2685 0.5370 0.2500  0.02